(1)
This record from Alexandria via LeMat-Bulk describes crystalline Ti2NiCl at its relaxed geometry. The functional is GGA-PBE.

Cell and atoms, written as extended XYZ:
```
8
Lattice="-0.715 -6.137 1.927 3.712 -1.977 -4.919 3.956 -3.794 0.253" Properties=species:S:1:pos:R:3 pbc="T T T"
Ni 0.000 0.000 0.000
Ni 2.370 -6.994 0.341
Cl 1.498 -4.057 -1.496
Cl 4.583 -4.914 -3.082
Ti 1.010 -4.993 0.640
Ti 3.215 -2.990 -2.759
Ti 4.114 -5.901 -0.964
Ti 5.566 -9.933 -2.399
```

Calculated values
Total energy (eV per cell): -47.482
ΔE_f (raw) (eV/atom): -0.08



(2)
This record from Alexandria via LeMat-Bulk describes crystalline KIn2Cu at its relaxed geometry. The functional is GGA-PBE.

Cell and atoms, written as extended XYZ:
```
4
Lattice="6.326 -0.033 0.000 -3.151 5.485 0.000 0.000 0.000 3.046" Properties=species:S:1:pos:R:3 pbc="T T T"
Cu -1.576 2.742 1.523
In 0.000 0.000 0.000
In 1.587 2.726 0.000
K 3.163 -0.017 1.523
```

Calculated values
Total energy (eV per cell): -9.341
ΔE_f (meV/atom): 333



(3)
This record from Alexandria via LeMat-Bulk describes crystalline Pu3Hf2ScN6 at its relaxed geometry. The functional is GGA-PBE.

Cell and atoms, written as extended XYZ:
```
12
Lattice="-3.043 -4.392 -2.135 4.971 1.520 -2.468 2.071 -2.533 4.844" Properties=species:S:1:pos:R:3 pbc="T T T"
Pu 4.683 -0.722 0.009
Pu -0.686 -4.683 0.232
Pu 1.999 -2.703 0.120
Hf 2.301 -0.449 -2.357
Hf -0.374 -2.423 -2.246
Sc 0.000 0.000 0.000
N 1.698 -5.127 0.324
N 1.886 -2.686 -2.298
N 2.300 -0.278 -0.084
N 4.412 -3.125 0.211
N 2.112 -2.719 2.538
N -0.414 -2.281 0.029
```

Calculated values
Total energy (eV per cell): -137.973
ΔE_f (raw) (eV/atom): -1.57



(4)
This record from Alexandria via LeMat-Bulk describes crystalline LiAsIr2 at its relaxed geometry. The functional is GGA-PBE.

Cell and atoms, written as extended XYZ:
```
4
Lattice="-1.123 -2.362 1.730 2.645 -0.024 1.685 -2.247 3.692 3.581" Properties=species:S:1:pos:R:3 pbc="T T T"
As -0.903 1.540 4.358
Ir -2.182 3.585 3.477
Ir 0.104 -0.114 2.755
Li -1.115 1.832 1.777
```

Calculated values
Total energy (eV per cell): -24.336
ΔE_f (meV/atom): -13



(5)
This record from Alexandria via LeMat-Bulk describes crystalline Dy5TlAg4 at its relaxed geometry. The functional is GGA-PBE.

Cell and atoms, written as extended XYZ:
```
10
Lattice="3.618 0.000 0.000 0.000 3.618 0.000 0.000 0.000 18.863" Properties=species:S:1:pos:R:3 pbc="T T T"
Dy 1.809 1.809 2.084
Dy 1.809 1.809 5.754
Dy 1.809 1.809 9.431
Dy 1.809 1.809 13.109
Dy 1.809 1.809 16.779
Tl 0.000 0.000 0.000
Ag 0.000 0.000 3.918
Ag 0.000 0.000 7.597
Ag 0.000 0.000 11.266
Ag 0.000 0.000 14.945
```

Calculated values
Total energy (eV per cell): -40.009
ΔE_f (meV/atom): -323



(6)
This record from Alexandria via LeMat-Bulk describes crystalline La2TlPt at its relaxed geometry. The functional is GGA-PBE.

Cell and atoms, written as extended XYZ:
```
4
Lattice="5.637 0.001 0.002 0.845 5.574 -0.002 -2.782 -3.321 3.607" Properties=species:S:1:pos:R:3 pbc="T T T"
La 0.192 0.165 0.000
La 3.049 2.622 0.000
Pt 0.652 2.520 1.802
Tl 3.048 -0.266 1.805
```

Calculated values
Total energy (eV per cell): -20.796
ΔE_f (meV/atom): -633



(7)
This record from Alexandria via LeMat-Bulk describes crystalline Zr3AlZn2 at its relaxed geometry. The functional is GGA-PBE.

Cell and atoms, written as extended XYZ:
```
6
Lattice="-0.782 0.752 -2.861 1.660 -2.338 -1.068 -9.673 -7.212 0.749" Properties=species:S:1:pos:R:3 pbc="T T T"
Zr 0.000 0.000 0.000
Zr -6.475 -4.827 0.501
Zr -3.198 -2.384 0.248
Al -4.397 -4.399 -1.590
Zn -7.646 -6.821 -1.339
Zn -1.148 -1.976 -1.842
```

Calculated values
Total energy (eV per cell): -33.848
ΔE_f (meV/atom): -319



(8)
This record from Alexandria via LeMat-Bulk describes crystalline KCrPb at its relaxed geometry. The functional is GGA-PBE.

Cell and atoms, written as extended XYZ:
```
3
Lattice="-2.601 4.185 -1.355 -2.063 -4.625 -0.687 -1.672 0.184 3.778" Properties=species:S:1:pos:R:3 pbc="T T T"
Cr -1.393 0.153 3.149
K -2.979 1.310 0.127
Pb -3.635 -1.535 2.238
```

Calculated values
Total energy (eV per cell): -12.805
ΔE_f (meV/atom): 541



(9)
This record from Alexandria via LeMat-Bulk describes crystalline Ho3ErTh at its relaxed geometry. The functional is GGA-PBE.

Cell and atoms, written as extended XYZ:
```
10
Lattice="-0.658 4.109 4.625 -8.210 -0.694 -4.723 3.824 -7.055 2.583" Properties=species:S:1:pos:R:3 pbc="T T T"
Ho -4.072 0.836 1.427
Ho -3.091 -2.203 2.865
Ho -5.444 -0.893 -1.327
Ho 0.400 -2.747 3.813
Ho -0.972 -4.476 1.058
Ho -1.953 -1.436 -0.380
Er -0.650 0.308 2.408
Er -4.394 -3.948 0.077
Th 2.382 -5.030 2.040
Th -7.426 1.390 0.445
```

Calculated values
Total energy (eV per cell): -51.187
ΔE_f (meV/atom): 25



(10)
This record from Alexandria via LeMat-Bulk describes crystalline Tb4Pm2SmEr at its relaxed geometry. The functional is GGA-PBE.

Cell and atoms, written as extended XYZ:
```
16
Lattice="9.374 -0.019 -1.734 -0.026 9.374 -1.734 -5.951 -5.955 8.328" Properties=species:S:1:pos:R:3 pbc="T T T"
Tb 2.281 7.063 -1.732
Tb 4.011 -0.606 2.428
Tb -0.614 4.005 2.432
Tb 1.116 -3.663 6.592
Tb 1.076 1.074 5.687
Tb 4.022 4.022 1.604
Tb -0.625 -0.623 3.256
Tb 2.321 2.325 -0.826
Pm 4.687 -0.010 -0.867
Pm 1.711 -2.987 3.297
Pm -2.976 -2.978 4.164
Pm 4.674 4.677 -1.734
Sm -0.013 4.687 -0.867
Sm 6.385 1.690 1.563
Er 1.698 1.700 2.430
Er 3.423 -5.974 6.594
```

Calculated values
Total energy (eV per cell): -67.938
ΔE_f (meV/atom): 417



(11)
This record from Alexandria via LeMat-Bulk describes crystalline KAg5Br7 at its relaxed geometry. The functional is GGA-PBE.

Cell and atoms, written as extended XYZ:
```
13
Lattice="-4.127 1.960 4.033 0.354 -5.255 7.520 4.307 3.371 7.374" Properties=species:S:1:pos:R:3 pbc="T T T"
K 4.453 -1.793 14.637
Ag 0.015 2.376 5.740
Ag -2.073 3.368 7.780
Ag -1.716 -1.401 5.804
Ag -3.804 -0.410 7.844
Ag 0.202 0.144 13.950
Br -1.062 0.619 7.821
Br 2.435 -0.910 12.143
Br -0.061 2.516 12.528
Br -1.784 -1.244 12.592
Br -0.469 0.283 3.987
Br -1.896 -2.424 8.447
Br 0.707 3.254 8.351
```

Calculated values
Total energy (eV per cell): -32.657
ΔE_f (raw) (eV/atom): -0.43



(12)
This record from Alexandria via LeMat-Bulk describes crystalline RbNa2IrO6 at its relaxed geometry. The functional is GGA-PBE.

Cell and atoms, written as extended XYZ:
```
20
Lattice="-2.216 4.742 2.600 -5.287 -0.572 -3.463 -3.478 -4.879 6.115" Properties=species:S:1:pos:R:3 pbc="T T T"
Rb -1.108 2.371 1.300
Rb -4.383 -2.725 1.326
Na -8.391 2.738 0.887
Na -6.522 -1.802 4.282
Na -2.590 -3.446 4.365
Na -4.459 1.094 0.970
Ir -2.847 -0.068 4.358
Ir -2.644 -0.286 -1.732
O -4.003 0.915 -1.332
O -8.150 0.706 2.174
O -6.978 -1.623 6.584
O -2.831 -1.414 3.078
O -6.311 -0.340 0.578
O -8.802 -0.370 5.169
O -4.670 -0.368 4.674
O -2.179 -0.338 0.084
O -6.041 3.009 1.119
O -7.686 -1.911 2.212
O -4.940 -3.717 4.133
O -3.295 1.203 3.040
```

Calculated values
Total energy (eV per cell): -103.164
ΔE_f (raw) (eV/atom): -0.94